# 1
# BaLaCl5

A geometry-optimized BaLaCl5 structure (PBE, the Alexandria database).

The value obtained for the energy above the lowest structure with this stoichiometry is 0.45 eV per formula unit. Its formation energy from raw total energies is -2394 meV per atom. As for the crystal system: monoclinic. As for the total energy: -4.69 eV/atom. For the density of states at the Fermi level, the calculation gives 0.00 states/eV per cell. The calculation puts the volume at 33.468 Å³ per atom.

It has space group P2_1/m (No. 11), with a = 7.640 Å, b = 4.560 Å, c = 13.454 Å, α = 90.00°, β = 91.41° and γ = 90.00°. The asymmetric unit holds Ba at (0.056, 0.250, 0.344), La at (0.437, 0.750, 0.149), Cl at (0.075, 0.750, 0.164), Cl at (0.154, 0.250, 0.570), Cl at (0.326, 0.250, 0.022), Cl at (0.357, 0.750, 0.793) and Cl at (0.367, 0.750, 0.350).



# 2
# Sr2CaHgN

A geometry-optimized Sr2CaHgN structure (PBE, the Alexandria database).

Its formation energy from raw total energies is -545 meV per atom. As for the crystal system: tetragonal. As for the total energy: -3.34 eV/atom. For the density of states at the Fermi level, the calculation gives 3.26 states/eV per cell. The calculation puts the volume at 27.653 Å³ per atom.

It has space group P4/mmm (No. 123), with a = 5.321 Å, b = 5.321 Å, c = 4.883 Å, α = 90.00°, β = 90.00° and γ = 90.00°. The asymmetric unit holds Sr at (0.000, 0.500, 0.000), Ca at (0.000, 0.000, 0.500), Hg at (0.500, 0.500, 0.500) and N at (0.000, 0.000, 0.000).



- Among the records above, which one has the lowest formation energy from raw total energies?
  BaLaCl5



- Among the records above, which one has the highest formation energy from raw total energies?
  Sr2CaHgN



- Which value of formation energy from raw total energies does entry 2 give?
  -545 meV per atom



- The lowest formation energy from raw total energies belongs to which entry?
  BaLaCl5